## Ba3TlV (PBE)

Data for a geometry-optimized Ba3TlV structure.

It has space group Pm-3m (No. 221), with a = 6.329 Å, b = 6.329 Å, c = 6.329 Å, α = 90.00°, β = 90.00° and γ = 90.00°. The inequivalent atoms are Ba at (0.000, 0.000, 0.500), Tl at (0.500, 0.500, 0.500) and V at (0.000, 0.000, 0.000).

The energy relative to the lowest polymorph listed for this composition comes out at 0.0 meV/atom. The value obtained for the formation enthalpy at 0 K is 0.542 eV per atom. The calculation puts the density of states at the Fermi level at 1.4362 states/eV/atom. The calculation puts the size of the total moment at 3.56 μB per formula unit. As for the crystal system: cubic.

## BaTlV3 (PBE)

Data for a geometry-optimized BaTlV3 structure.

It has space group Pm-3m (No. 221), with a = 4.849 Å, b = 4.849 Å, c = 4.849 Å, α = 90.00°, β = 90.00° and γ = 90.00°. The inequivalent atoms are Ba at (0.000, 0.000, 0.000), Tl at (0.500, 0.500, 0.500) and V at (0.000, 0.000, 0.500).

The energy relative to the lowest polymorph listed for this composition comes out at 999.0 meV/atom. The value obtained for the formation enthalpy at 0 K is 2.295 eV per atom. The calculation puts the density of states at the Fermi level at 1.3795 states/eV/atom. The calculation puts the size of the total moment at 0.44 μB per formula unit. As for the crystal system: cubic.

## BaTlV3 (PBE)

Data for a geometry-optimized BaTlV3 structure.

It has space group Pm-3m (No. 221), with a = 5.344 Å, b = 5.344 Å, c = 5.344 Å, α = 90.00°, β = 90.00° and γ = 90.00°. The inequivalent atoms are Ba at (0.000, 0.000, 0.000), Tl at (0.500, 0.500, 0.500) and V at (0.000, 0.500, 0.500).

The energy relative to the lowest polymorph listed for this composition comes out at 0.0 meV/atom. The value obtained for the formation enthalpy at 0 K is 1.296 eV per atom. The calculation puts the density of states at the Fermi level at 0.9428 states/eV/atom. The calculation puts the size of the total moment at 11.60 μB per formula unit. As for the crystal system: cubic.

## BaTlW2 (PBE)

Data for a geometry-optimized BaTlW2 structure.

It has space group I4/mmm (No. 139), with a = 4.334 Å, b = 4.334 Å, c = 10.104 Å, α = 90.00°, β = 90.00° and γ = 90.00°. The inequivalent atoms are Ba at (0.000, 0.000, 0.000), Tl at (0.000, 0.000, 0.500) and W at (0.000, 0.500, 0.250).

The energy relative to the lowest polymorph listed for this composition comes out at 1118.1 meV/atom. The value obtained for the formation enthalpy at 0 K is 1.714 eV per atom. The calculation puts the density of states at the Fermi level at 1.2515 states/eV/atom. The calculation puts the size of the total moment at 0.00 μB per formula unit. As for the crystal system: tetragonal.

## BaTlW2 (PBE)

Data for a geometry-optimized BaTlW2 structure.

It has space group Cmmm (No. 65), with a = 3.494 Å, b = 4.819 Å, c = 10.615 Å, α = 90.00°, β = 90.00° and γ = 90.00°. The inequivalent atoms are Ba at (0.000, 0.000, 0.000), Tl at (0.000, 0.000, 0.500) and W at (0.000, 0.500, 0.281).

The energy relative to the lowest polymorph listed for this composition comes out at 855.6 meV/atom. The value obtained for the formation enthalpy at 0 K is 1.452 eV per atom. The calculation puts the density of states at the Fermi level at 0.9753 states/eV/atom. The calculation puts the size of the total moment at 0.00 μB per formula unit. As for the crystal system: orthorhombic.

## BaTlW2 (PBE)

Data for a geometry-optimized BaTlW2 structure.

It has space group Fm-3m (No. 225), with a = 7.005 Å, b = 7.005 Å, c = 7.005 Å, α = 90.00°, β = 90.00° and γ = 90.00°. The inequivalent atoms are Ba at (0.000, 0.000, 0.000), Tl at (0.000, 0.000, 0.500) and W at (0.250, 0.250, 0.250).

The energy relative to the lowest polymorph listed for this composition comes out at 1250.2 meV/atom. The value obtained for the formation enthalpy at 0 K is 1.846 eV per atom. The calculation puts the density of states at the Fermi level at 1.5284 states/eV/atom. The calculation puts the size of the total moment at 0.00 μB per formula unit. As for the crystal system: cubic.

## BaTl2W4 (PBE)

Data for a geometry-optimized BaTl2W4 structure.

It has space group I4/mmm (No. 139), with a = 5.047 Å, b = 5.047 Å, c = 14.432 Å, α = 90.00°, β = 90.00° and γ = 90.00°. The inequivalent atoms are Ba at (0.000, 0.000, 0.000), Tl at (0.000, 0.000, 0.373), W at (0.000, 0.000, 0.181) and W at (0.000, 0.500, 0.000).

The value obtained for the formation enthalpy at 0 K is 3.250 eV per atom. The calculation puts the density of states at the Fermi level at 1.1097 states/eV/atom. The calculation puts the size of the total moment at 3.63 μB per formula unit. As for the crystal system: tetragonal.

## BaTlW2 (PBE)

Data for a geometry-optimized BaTlW2 structure.

It has space group P4/mmm (No. 123), with a = 4.313 Å, b = 4.313 Å, c = 5.083 Å, α = 90.00°, β = 90.00° and γ = 90.00°. The inequivalent atoms are Ba at (0.000, 0.000, 0.000), Tl at (0.500, 0.500, 0.000) and W at (0.000, 0.500, 0.500).

The energy relative to the lowest polymorph listed for this composition comes out at 1101.9 meV/atom. The value obtained for the formation enthalpy at 0 K is 1.698 eV per atom. The calculation puts the density of states at the Fermi level at 1.0846 states/eV/atom. The calculation puts the size of the total moment at 0.00 μB per formula unit. As for the crystal system: tetragonal.